# Ac2TmCoO6 (PBE+U, relaxed)
data_Ac2TmCoO6
_chemical_formula_sum 'Ac4 Tm2 Co2 O12'
_cell_length_a 5.7898
_cell_length_b 5.7472
_cell_length_c 9.9477
_cell_angle_alpha 90.00
_cell_angle_beta 125.02
_cell_angle_gamma 90.00
_space_group_name_H-M_alt 'P 1 21/c 1'
_space_group_IT_number 14
_space_group_name_Hall '-P 2ybc'
loop_
_atom_site_label
_atom_site_type_symbol
_atom_site_fract_x
_atom_site_fract_y
_atom_site_fract_z
Ac1 Ac 0.2416 0.0217 0.2480
Tm1 Tm 0.5000 0.0000 0.0000
Co1 Co 0.0000 0.0000 0.5000
O1 O 0.1740 0.2381 0.9628
O2 O 0.2211 0.7141 0.9627
O3 O 0.3046 0.0105 0.7359
# Calculated volume   13.55 Å³/atom
# Uncorrected energy   -7.5772 eV per atom
# D(E_F)   0.00 states/eV/atom